[1]
DFT (PBE) results for a relaxed structure of TiBiOF2.

Unit cell a=4.3649 b=4.3649 c=3.8133 alpha=90.00 beta=90.00 gamma=90.00
Closest atoms and distances in Å follow each position.
Sites, in units of the cell vectors:
Bi 0.5000 0.5000 0.5000  8 F 2.90, 4 O 3.09
F 0.5000 0.0000 0.0000  2 Ti 2.18
Ti 0.0000 0.0000 0.0000  2 O 1.91
F 0.0000 0.5000 0.0000  2 Ti 2.18
O 0.0000 0.0000 0.5000  2 Ti 1.91

Properties
**Excess energy over the best structure of this formula in the dataset**: 0 meV per atom
**Calculated volume**: 73 Å³/cell
**Formation energy without anion corrections**: -1.90 eV/atom
**Space group**: P4/mmm (123)
**Calculated total energy**: -5.99 eV/atom

***

[2]
DFT (PBE) results for a relaxed structure of ScGa2Ge.

Unit cell a=4.3517 b=4.0433 c=4.0433 alpha=90.00 beta=90.00 gamma=90.00
Closest atoms and distances in Å follow each position.
Sites, in units of the cell vectors:
Ga 0.0000 0.5000 0.0000  4 Ga 2.86, 4 Ge 2.97, 4 Sc 2.97
Sc 0.5000 0.5000 0.5000  4 Ge 2.86, 8 Ga 2.97
Ge 0.5000 0.0000 0.0000  4 Sc 2.86, 8 Ga 2.97
Ga 0.0000 0.0000 0.5000  4 Ga 2.86, 4 Ge 2.97, 4 Sc 2.97

Properties
**Calculated volume**: 71 Å³/cell
**Space group**: P4/mmm (123)
**DFT formation energy**: -0.441 eV per atom
**Calculated total energy**: -4.69 eV/atom

***

[3]
DFT (PBE) results for a relaxed structure of Sc2MnSbC.

Unit cell a=4.5797 b=4.5797 c=4.0232 alpha=90.00 beta=90.00 gamma=90.00
Closest atoms and distances in Å follow each position.
Sites, in units of the cell vectors:
Sc 0.5000 0.0000 0.0000  2 C 2.29
Sc 0.0000 0.5000 0.0000  2 C 2.29
Mn 0.0000 0.0000 0.5000  2 C 2.01
C 0.0000 0.0000 0.0000  2 Mn 2.01
Sb 0.5000 0.5000 0.5000  8 Sc 3.05, 4 Mn 3.24

Properties
**Calculated volume**: 84 Å³/cell
**Formation energy without anion corrections**: -0.51 eV/atom
**Space group**: P4/mmm (123)
**Calculated total energy**: -7.54 eV/atom